A relaxed Li4ZrB crystal, computed with PBE-GGA.

## Properties
size of the total moment = 0.336 μB per formula unit
VASP energy = -3.025 eV per atom

a b c (Å): 9.5246 10.2365 2.5878
angles (deg): 90.00 90.00 90.00
Last column: nearest neighbours and their distance in Å.
Space group Cmmm (No. 65)
One atom of each set of equivalent atoms:
Li1 0.0000 0.2172 0.0000  1 B 2.22
Li2 0.1932 0.0000 0.5000  2 B 2.25
Zr1 0.0000 0.5000 0.5000  2 Zr 2.59
B1 0.0000 0.0000 0.0000  6 Li 2.22-2.25